# 1
Density functional theory data (PBE) for a relaxed Li5AcSn7 crystal.

Output
density of states at the Fermi level: 0.349 states/eV/atom
total magnetic moment: 0.00 Bohr magnetons per cell
E: -3.549 eV/atom
symmetry: Imm2
ΔH_f (0 K): -0.341 eV per atom

a b c (Å): 6.063 7.702 7.702
angles (deg): 83.55 66.82 66.82
Element x y z (fractional)
Sn: 0.265 0.235 0.235
Sn: 0.646 0.354 0.354
Sn: 0.346 0.654 0.654
Sn: 0.992 0.347 0.670
Sn: 0.992 0.670 0.347
Sn: 0.508 0.186 0.797
Sn: 0.508 0.797 0.186
Li: 0.493 0.499 0.000
Li: 0.743 0.757 0.757
Li: 0.493 0.000 0.499
Li: 0.009 0.499 0.000
Li: 0.009 0.000 0.499
Ac: 0.996 0.004 0.004

=====

# 2
Density functional theory data (PBE) for a relaxed LiAc4Sn8 crystal.

Output
density of states at the Fermi level: 0.460 states/eV/atom
total magnetic moment: 0.00 Bohr magnetons per cell
E: -4.466 eV/atom
symmetry: Pmm2
ΔH_f (0 K): -0.591 eV per atom

a b c (Å): 4.564 4.708 18.859
angles (deg): 90.00 90.00 90.00
Element x y z (fractional)
Sn: 0.500 0.500 0.045
Sn: 0.000 0.000 0.460
Sn: 0.000 0.500 0.944
Sn: 0.000 0.500 0.239
Sn: 0.500 0.000 0.559
Sn: 0.500 0.000 0.241
Sn: 0.500 0.500 0.755
Sn: 0.000 0.000 0.745
Li: 0.000 0.000 0.319
Ac: 0.500 0.500 0.395
Ac: 0.000 0.500 0.608
Ac: 0.000 0.000 0.100
Ac: 0.500 0.000 0.893

=====

# 3
Density functional theory data (PBE) for a relaxed LiAc3Sn12 crystal.

Output
density of states at the Fermi level: 0.505 states/eV/atom
total magnetic moment: 0.00 Bohr magnetons per cell
E: -4.296 eV/atom
symmetry: P4/mmm
ΔH_f (0 K): -0.404 eV per atom

a b c (Å): 4.860 4.860 19.389
angles (deg): 90.00 90.00 90.00
Element x y z (fractional)
Sn: 0.500 0.500 0.500
Sn: 0.500 0.000 0.371
Sn: 0.500 0.500 0.240
Sn: 0.000 0.500 0.889
Sn: 0.000 0.500 0.111
Sn: 0.500 0.500 0.000
Sn: 0.000 0.500 0.371
Sn: 0.500 0.000 0.889
Sn: 0.500 0.000 0.629
Sn: 0.500 0.000 0.111
Sn: 0.000 0.500 0.629
Sn: 0.500 0.500 0.760
Ac: 0.000 0.000 0.244
Ac: 0.000 0.000 0.500
Ac: 0.000 0.000 0.756
Li: 0.000 0.000 0.000

=====

# 4
Density functional theory data (PBE) for a relaxed LiAc5Sn3 crystal.

Output
density of states at the Fermi level: 1.206 states/eV/atom
total magnetic moment: 0.60 Bohr magnetons per cell
E: -4.062 eV/atom
symmetry: C2/m
ΔH_f (0 K): -0.232 eV per atom

a b c (Å): 8.732 8.732 10.900
angles (deg): 79.42 79.42 73.39
Element x y z (fractional)
Ac: 0.240 0.240 0.902
Ac: 0.691 0.309 0.000
Ac: 0.986 0.367 0.360
Ac: 0.309 0.691 0.000
Ac: 0.760 0.760 0.098
Ac: 0.014 0.633 0.640
Ac: 0.485 0.485 0.337
Ac: 0.515 0.515 0.663
Ac: 0.367 0.986 0.360
Ac: 0.633 0.014 0.640
Sn: 0.325 0.325 0.156
Sn: 0.000 0.000 0.000
Sn: 0.675 0.675 0.844
Sn: 0.275 0.275 0.576
Sn: 0.000 0.000 0.500
Sn: 0.725 0.725 0.424
Li: 0.937 0.937 0.279
Li: 0.063 0.063 0.721

=====

# 5
Density functional theory data (PBE) for a relaxed LiAcSn5 crystal.

Output
density of states at the Fermi level: 0.575 states/eV/atom
total magnetic moment: 0.00 Bohr magnetons per cell
E: -4.050 eV/atom
symmetry: P4/mmm
ΔH_f (0 K): -0.331 eV per atom

a b c (Å): 4.966 4.966 7.830
angles (deg): 90.00 90.00 90.00
Element x y z (fractional)
Sn: 0.000 0.500 0.307
Sn: 0.500 0.000 0.693
Sn: 0.000 0.500 0.693
Sn: 0.500 0.000 0.307
Sn: 0.500 0.500 0.000
Ac: 0.000 0.000 0.000
Li: 0.000 0.000 0.500

=====

# 6
Density functional theory data (PBE) for a relaxed LiAcSn crystal.

Output
energy above the most stable polymorph in this dataset: 38 meV per atom
density of states at the Fermi level: 0.194 states/eV/atom
total magnetic moment: 0.00 Bohr magnetons per cell
E: -3.942 eV/atom
symmetry: Pmmn
ΔH_f (0 K): -0.600 eV per atom

a b c (Å): 4.915 8.504 16.914
angles (deg): 90.00 90.00 90.00
Element x y z (fractional)
Ac: 0.000 0.250 0.250
Ac: 0.500 0.750 0.500
Ac: 0.500 0.750 0.750
Ac: 0.500 0.750 0.000
Ac: 0.500 0.750 0.250
Ac: 0.000 0.250 0.000
Ac: 0.000 0.250 0.500
Ac: 0.000 0.250 0.750
Li: 0.500 0.417 0.863
Li: 0.500 0.083 0.637
Li: 0.000 0.583 0.363
Li: 0.500 0.083 0.363
Li: 0.000 0.917 0.863
Li: 0.000 0.917 0.137
Li: 0.000 0.583 0.637
Li: 0.500 0.417 0.137
Sn: 0.500 0.416 0.372
Sn: 0.000 0.584 0.872
Sn: 0.500 0.084 0.872
Sn: 0.500 0.084 0.128
Sn: 0.000 0.916 0.372
Sn: 0.000 0.916 0.628
Sn: 0.000 0.584 0.128
Sn: 0.500 0.416 0.628

=====

# 7
Density functional theory data (PBE) for a relaxed LiAcSn3 crystal.

Output
energy above the most stable polymorph in this dataset: 0 meV per atom
density of states at the Fermi level: 0.370 states/eV/atom
total magnetic moment: 0.00 Bohr magnetons per cell
E: -4.084 eV/atom
symmetry: Cmmm
ΔH_f (0 K): -0.478 eV per atom

a b c (Å): 4.720 4.659 12.678
angles (deg): 100.59 90.00 90.00
Element x y z (fractional)
Sn: 0.500 0.557 0.114
Sn: 0.000 0.284 0.569
Sn: 0.000 0.716 0.431
Sn: 0.000 0.057 0.115
Sn: 0.000 0.943 0.885
Sn: 0.500 0.443 0.886
Ac: 0.500 0.167 0.334
Ac: 0.500 0.833 0.666
Li: 0.000 0.388 0.777
Li: 0.000 0.612 0.223

=====

# 8
Density functional theory data (PBE) for a relaxed Li4AcSn8 crystal.

Output
density of states at the Fermi level: 0.473 states/eV/atom
total magnetic moment: 0.00 Bohr magnetons per cell
E: -3.667 eV/atom
symmetry: I4/mmm
ΔH_f (0 K): -0.299 eV per atom

a b c (Å): 6.138 7.814 7.814
angles (deg): 81.13 66.87 66.87
Element x y z (fractional)
Sn: 0.500 0.219 0.781
Sn: 0.719 0.781 0.781
Sn: 0.343 0.657 0.657
Sn: 0.500 0.781 0.219
Sn: 0.000 0.657 0.343
Sn: 0.000 0.343 0.657
Sn: 0.657 0.343 0.343
Sn: 0.281 0.219 0.219
Li: 0.500 0.000 0.500
Li: 0.000 0.000 0.500
Li: 0.500 0.500 0.000
Li: 0.000 0.500 0.000
Ac: 0.000 0.000 0.000

=====

# 9
Density functional theory data (PBE) for a relaxed LiAc6Sn2 crystal.

Output
density of states at the Fermi level: 1.589 states/eV/atom
total magnetic moment: 0.00 Bohr magnetons per cell
E: -3.964 eV/atom
symmetry: Immm
ΔH_f (0 K): -0.123 eV per atom

a b c (Å): 5.554 8.012 9.695
angles (deg): 114.41 106.63 90.00
Element x y z (fractional)
Ac: 0.500 0.247 0.000
Ac: 0.835 0.587 0.670
Ac: 0.165 0.413 0.330
Ac: 0.500 0.753 0.000
Ac: 0.165 0.918 0.330
Ac: 0.835 0.082 0.670
Li: 0.000 0.000 0.000
Sn: 0.334 0.334 0.667
Sn: 0.666 0.666 0.333

=====

# 10
Density functional theory data (PBE) for a relaxed Li2Ac3Sn3 crystal.

Output
density of states at the Fermi level: 0.578 states/eV/atom
total magnetic moment: 1.74 Bohr magnetons per cell
E: -4.143 eV/atom
symmetry: Cmcm
ΔH_f (0 K): -0.623 eV per atom

a b c (Å): 4.889 6.562 16.406
angles (deg): 90.00 90.00 111.87
Last column: magnetic moment on the atom in μB.
Element x y z (fractional)
Sn: 0.608 0.217 0.043  0.00
Sn: 0.608 0.217 0.457  0.00
Sn: 0.392 0.783 0.543  0.00
Sn: 0.325 0.651 0.250  0.00
Sn: 0.675 0.349 0.750  0.00
Sn: 0.392 0.783 0.957  0.00
Li: 0.212 0.424 0.415  0.00
Li: 0.212 0.424 0.085  0.00
Li: 0.788 0.576 0.585  0.00
Li: 0.788 0.576 0.915  0.00
Ac: 0.626 0.252 0.250  0.10
Ac: 0.912 0.825 0.389  0.07
Ac: 0.088 0.175 0.611  0.07
Ac: 0.912 0.825 0.111  0.07
Ac: 0.374 0.748 0.750  0.10
Ac: 0.088 0.175 0.889  0.07

=====

# 11
Density functional theory data (PBE) for a relaxed LiAc2Sn5 crystal.

Output
density of states at the Fermi level: 0.475 states/eV/atom
total magnetic moment: 0.00 Bohr magnetons per cell
E: -4.260 eV/atom
symmetry: Cm
ΔH_f (0 K): -0.492 eV per atom

a b c (Å): 7.025 7.025 6.931
angles (deg): 121.13 121.13 88.96
Element x y z (fractional)
Sn: 0.222 0.733 0.956
Sn: 0.733 0.222 0.956
Sn: 0.686 0.686 0.941
Sn: 0.254 0.254 0.939
Sn: 0.714 0.714 0.428
Ac: 0.225 0.725 0.450
Ac: 0.725 0.225 0.450
Li: 0.217 0.217 0.434

=====

# 12
Density functional theory data (PBE) for a relaxed Li2Ac2Sn crystal.

Output
density of states at the Fermi level: 0.721 states/eV/atom
total magnetic moment: 0.00 Bohr magnetons per cell
E: -3.352 eV/atom
symmetry: I4/mmm
ΔH_f (0 K): -0.142 eV per atom

a b c (Å): 3.930 3.930 10.849
angles (deg): 100.43 100.43 90.00
Element x y z (fractional)
Ac: 0.400 0.400 0.800
Ac: 0.600 0.600 0.200
Sn: 0.000 0.000 0.000
Li: 0.750 0.250 0.500
Li: 0.250 0.750 0.500

=====

Question: The lowest density of states at the Fermi level belongs to which entry?
Answer: LiAcSn

=====

What did the first record say?
Density functional theory data (PBE) for a relaxed Li5AcSn7 crystal.

Output
density of states at the Fermi level: 0.349 states/eV/atom
total magnetic moment: 0.00 Bohr magnetons per cell
E: -3.549 eV/atom
symmetry: Imm2
ΔH_f (0 K): -0.341 eV per atom

a b c (Å): 6.063 7.702 7.702
angles (deg): 83.55 66.82 66.82
Element x y z (fractional)
Sn: 0.265 0.235 0.235
Sn: 0.646 0.354 0.354
Sn: 0.346 0.654 0.654
Sn: 0.992 0.347 0.670
Sn: 0.992 0.670 0.347
Sn: 0.508 0.186 0.797
Sn: 0.508 0.797 0.186
Li: 0.493 0.499 0.000
Li: 0.743 0.757 0.757
Li: 0.493 0.000 0.499
Li: 0.009 0.499 0.000
Li: 0.009 0.000 0.499
Ac: 0.996 0.004 0.004

=====

Copy entry 12 word for word.
Density functional theory data (PBE) for a relaxed Li2Ac2Sn crystal.

Output
density of states at the Fermi level: 0.721 states/eV/atom
total magnetic moment: 0.00 Bohr magnetons per cell
E: -3.352 eV/atom
symmetry: I4/mmm
ΔH_f (0 K): -0.142 eV per atom

a b c (Å): 3.930 3.930 10.849
angles (deg): 100.43 100.43 90.00
Element x y z (fractional)
Ac: 0.400 0.400 0.800
Ac: 0.600 0.600 0.200
Sn: 0.000 0.000 0.000
Li: 0.750 0.250 0.500
Li: 0.250 0.750 0.500